# K3Er3UO8 (PBE-GGA, relaxed)
# Formation energy from raw total energies, eV/f.u.: -42.82
# Calculated density, g/cm³: 6.225
# Raw total energy, eV per cell: -332.27
# DOS at the Fermi energy, states/eV per cell: 23.6
data_K3Er3UO8
_chemical_formula_sum 'K9 Er9 U3 O24'
_cell_length_a 6.9161
_cell_length_b 6.9161
_cell_length_c 19.0284
_cell_angle_alpha 90.00
_cell_angle_beta 90.00
_cell_angle_gamma 120.00
_space_group_name_H-M_alt 'R -3 m'
_space_group_IT_number 166
_space_group_name_Hall '-R 3 2"'
loop_
_atom_site_label
_atom_site_type_symbol
_atom_site_fract_x
_atom_site_fract_y
_atom_site_fract_z
K1 K 0.0000 0.5000 0.0000
Er1 Er 0.0000 0.5000 0.5000
U1 U 0.0000 0.0000 0.5000
O1 O 0.0000 0.0000 0.2262
O2 O 0.0066 0.5033 0.2248